Material: LaMgZn2
Method: DFT, GGA-PBE
State: optimized geometry

Results
* energy of formation: -0.1150 eV per atom

Cell: 5.6747 5.6747 5.1375 Å, 113.40 113.40 38.61°
Positions (direct):
La: 0.0000 0.0000 0.0000
Mg: 0.2141 0.2141 0.6926
Zn: 0.4537 0.4537 0.4642
Zn: 0.7666 0.7666 0.2584

Material: HfCSe2
Method: DFT, GGA-PBE
State: optimized geometry

Results
* ΔE_f (raw): 0.777 eV/atom

Cell: 6.6497 6.6497 6.6497 Å, 130.50 130.50 72.60°
Positions (direct):
Hf: 0.0000 0.0000 0.0000
Hf: 0.7500 0.2500 0.5000
C: 0.2500 0.7500 0.5000
C: 0.5000 0.5000 0.0000
Se: 0.1900 0.6250 0.0650
Se: 0.3750 0.4400 0.5650
Se: 0.5600 0.1250 0.9350
Se: 0.8750 0.8100 0.4350